(1)
Density functional theory data (GGA-PBE) for Ca3La3Au4 after structural relaxation.

Properties
Calculated total energy in eV per atom: -4.086
Spin magnetization in μB/f.u.: 0.000
Crystal system: orthorhombic

a b c (Å): 4.1134 11.8205 11.8951
angles (deg): 90.00 90.00 90.00
Space group Amm2 (No. 38)
Inequivalent atoms, fractional coordinates:
Ca  0.0000  0.0000  0.0000 [2 per cell]
Ca  0.5000  0.2464  0.0868 [4 per cell]
La  0.0000  0.0000  0.6863 [2 per cell]
La  0.0000  0.1568  0.3377 [4 per cell]
Au  0.5000  0.0000  0.2021 [2 per cell]
Au  0.5000  0.0000  0.4799 [2 per cell]
Au  0.5000  0.1392  0.8385 [4 per cell]

---

(2)
Density functional theory data (GGA-PBE) for Ca2LaAu after structural relaxation.

Properties
Energy above the most stable polymorph in this dataset in eV/atom: 0.124
Spin magnetization in μB/f.u.: 0.000
Crystal system: trigonal

a b c (Å): 3.9000 3.9000 31.3396
angles (deg): 90.00 90.00 120.00
Space group R-3m (No. 166, hexagonal axes)
Inequivalent atoms, fractional coordinates:
Ca  0.0000  0.0000  0.2291 [6 per cell]
La  0.0000  0.0000  0.0000 [3 per cell]
Au  0.0000  0.0000  0.5000 [3 per cell]